A relaxed NaTlCo2Tc crystal, computed with PBE.

Cell and atoms, written as POSCAR:
```
NaTlCo2Tc
1.0
4.440 0.000 0.000
0.000 5.447 0.000
0.000 0.000 4.440
Tl Tc Co Na
1 1 2 1
Direct
0.500 0.500 0.500
0.000 0.000 0.000
0.500 0.000 0.000
0.000 0.000 0.500
0.000 0.500 0.000
```

Output
Its density of states at the Fermi level is 7.50 states/eV per cell. The total energy comes out at -22.3 eV for the cell shown. As for the space-group type: No. 123. The calculated formation energy comes out at 1.198 eV per atom. The calculation puts the calculated density at 6.9 Mg/m³. The value obtained for the energy above the most stable polymorph in this dataset is 0.00 kcal/mol of atoms.

***

A relaxed YCu2Ge2 crystal, computed with PBE.

Cell and atoms, written as POSCAR:
```
YCu2Ge2
1.0
-0.731 -3.571 -1.816
1.138 -1.956 3.386
-5.066 2.915 0.915
Ge Cu Y
2 2 1
Direct
0.621 0.621 0.240
0.379 0.379 0.760
0.252 0.748 0.500
0.748 0.252 0.500
0.000 0.000 0.000
```

Output
Its density of states at the Fermi level is 0.93 states/eV per cell. The total energy comes out at -26.4 eV for the cell shown. As for the space-group type: No. 12. The calculated formation energy comes out at -0.508 eV per atom. The calculation puts the calculated density at 7.0 Mg/m³.

***

A relaxed OsAuOF2 crystal, computed with PBE.

Cell and atoms, written as POSCAR:
```
OsAuOF2
1.0
4.486 0.000 0.000
0.000 4.486 0.000
0.000 0.000 4.002
Au O F Os
1 1 2 1
Direct
0.000 0.000 0.000
0.000 0.000 0.500
0.500 0.000 0.000
0.000 0.500 0.000
0.500 0.500 0.500
```

Output
Its density of states at the Fermi level is 4.93 states/eV per cell. The total energy comes out at -19.1 eV for the cell shown. As for the space-group type: No. 123. The calculation puts the calculated density at 9.1 Mg/m³. The value obtained for the energy above the most stable polymorph in this dataset is 27.72 kcal/mol of atoms. The formation energy from raw total energies comes out at 820 meV/atom.

***

A relaxed MnZnSe crystal, computed with PBE.

Cell and atoms, written as POSCAR:
```
MnZnSe
1.0
-0.246 -2.154 2.196
0.315 -0.836 -2.954
6.035 -0.025 0.651
Zn Se Mn
1 1 1
Direct
0.333 0.667 0.711
0.667 0.333 0.269
0.000 0.000 0.020
```

Output
Its density of states at the Fermi level is 1.65 states/eV per cell. The total energy comes out at -13.9 eV for the cell shown. As for the space-group type: No. 156. The calculation puts the calculated density at 6.6 Mg/m³. The value obtained for the energy above the most stable polymorph in this dataset is 0.00 kcal/mol of atoms. The formation energy from raw total energies comes out at 5 meV/atom.

***

A relaxed CsNaMgF2 crystal, computed with PBE.

Cell and atoms, written as POSCAR:
```
CsNaMgF2
1.0
-2.542 0.226 -4.841
5.024 -2.555 -2.757
-2.071 -4.993 0.854
Cs F Mg Na
1 2 1 1
Direct
0.000 0.000 0.000
0.500 0.000 0.000
0.000 0.000 0.500
0.000 0.500 0.000
0.500 0.500 0.500
```

Output
Its density of states at the Fermi level is 0.00 states/eV per cell. The total energy comes out at -13.0 eV for the cell shown. As for the space-group type: No. 123. The calculation puts the calculated density at 1.9 Mg/m³. The formation energy from raw total energies comes out at -1089 meV/atom.

***

A relaxed YOsRh2C crystal, computed with PBE.

Cell and atoms, written as POSCAR:
```
YOsRh2C
1.0
-1.313 0.149 4.026
3.846 -1.215 1.300
1.163 3.931 0.234
Y C Rh Os
1 1 2 1
Direct
0.500 0.500 0.500
0.000 0.000 0.000
0.000 0.500 0.000
0.500 0.000 0.000
0.000 0.000 0.500
```

Output
Its density of states at the Fermi level is 3.72 states/eV per cell. The total energy comes out at -43.0 eV for the cell shown. As for the space-group type: No. 123. The calculated formation energy comes out at -0.275 eV per atom. The calculation puts the calculated density at 11.2 Mg/m³.

***

A relaxed CrFeRh2 crystal, computed with PBE.

Cell and atoms, written as POSCAR:
```
CrFeRh2
1.0
-0.359 3.131 -3.194
0.593 -3.888 -2.161
-2.737 -0.381 -0.066
Fe Cr Rh
1 1 2
Direct
0.000 0.500 0.500
0.500 0.000 0.500
0.000 0.000 0.000
0.500 0.500 0.000
```

Output
Its density of states at the Fermi level is 3.81 states/eV per cell. The total energy comes out at -33.0 eV for the cell shown. As for the space-group type: No. 65. The calculated formation energy comes out at -0.054 eV per atom. The calculation puts the calculated density at 9.7 Mg/m³.

***

A relaxed Ca2ReW crystal, computed with PBE.

Cell and atoms, written as POSCAR:
```
Ca2ReW
1.0
-3.154 0.401 5.045
-5.001 -3.247 0.099
5.941 -0.155 -0.490
Re Ca W
1 2 1
Direct
0.460 0.460 0.000
0.013 0.013 0.000
0.728 0.228 0.500
0.299 0.799 0.500
```

Output
Its density of states at the Fermi level is 2.92 states/eV per cell. The total energy comes out at -27.1 eV for the cell shown. As for the space-group type: No. 44. The calculated formation energy comes out at 0.565 eV per atom. The calculation puts the calculated density at 7.8 Mg/m³. The value obtained for the energy above the most stable polymorph in this dataset is 4.43 kcal/mol of atoms.